A relaxed structure of NaDyInPt. Source: Alexandria, functional PBE.

Computed properties:
Formation enthalpy at 0 K = -0.549 eV/atom
Total magnetization = 0.0 μB per formula unit

a = 4.9116 Å, b = 4.9116 Å, c = 4.9116 Å
α = 60.00°, β = 60.00°, γ = 60.00°
Closest atoms and distances in Å follow each position.
Fractional positions:
Dy: 0.5000 0.5000 0.5000  4 Pt 3.01, 4 Na 3.01
In: 0.0000 0.0000 0.0000  4 Na 3.01, 4 Pt 3.01
Pt: 0.2500 0.2500 0.2500  4 In 3.01, 4 Dy 3.01
Na: 0.7500 0.7500 0.7500  4 In 3.01, 4 Dy 3.01

A relaxed structure of Na4Dy3InS8. Source: Alexandria, functional PBE.

Computed properties:
Total magnetization = 0.0 μB per formula unit
ΔE_f (raw) = -1586 meV per atom

a = 7.9003 Å, b = 8.1149 Å, c = 7.9013 Å
α = 119.16°, β = 120.00°, γ = 90.00°
Closest atoms and distances in Å follow each position.
Fractional positions:
Dy: 0.5000 0.5000 0.0000  6 S 2.74-2.76
Dy: 0.0000 0.5000 0.5000  6 S 2.74-2.76
Dy: 0.5000 0.5000 0.5000  6 S 2.74-2.76
S: 0.2392 0.7261 0.9871  1 In 2.71, 2 Dy 2.76, 3 Na 2.91-2.96
S: 0.2520 0.2739 0.0129  1 In 2.71, 2 Dy 2.76, 3 Na 2.91-2.96
S: 0.7606 0.2738 0.5213  1 In 2.71, 2 Dy 2.76, 3 Na 2.91-2.96
S: 0.7608 0.2739 0.0129  1 In 2.71, 2 Dy 2.76, 3 Na 2.91-2.96
S: 0.7480 0.7261 0.9871  1 In 2.71, 2 Dy 2.76, 3 Na 2.91-2.96
S: 0.7421 0.7261 0.4842  3 Dy 2.74, 3 Na 2.93
S: 0.2579 0.2739 0.5158  3 Dy 2.74, 3 Na 2.93
S: 0.2394 0.7262 0.4787  1 In 2.71, 2 Dy 2.76, 3 Na 2.91-2.96
Na: 0.5000 0.0000 0.5000  6 S 2.91-2.93
Na: 0.0000 0.0000 0.5000  6 S 2.91-2.93
Na: 0.0000 0.0000 0.0000  6 S 2.91-2.93
Na: 0.5000 0.0000 0.0000  6 S 2.96
In: 0.0000 0.5000 0.0000  6 S 2.71

A relaxed structure of NaDyScIn. Source: Alexandria, functional PBE.

Computed properties:
Formation enthalpy at 0 K = -0.085 eV/atom
Total magnetization = 0.0 μB per formula unit

a = 5.2517 Å, b = 5.2517 Å, c = 5.2517 Å
α = 60.00°, β = 60.00°, γ = 60.00°
Closest atoms and distances in Å follow each position.
Fractional positions:
Na: 0.0000 0.0000 0.0000  4 Sc 3.22, 4 Dy 3.22
Sc: 0.2500 0.2500 0.2500  4 In 3.22, 4 Na 3.22
In: 0.5000 0.5000 0.5000  4 Dy 3.22, 4 Sc 3.22
Dy: 0.7500 0.7500 0.7500  4 In 3.22, 4 Na 3.22

A relaxed structure of Na2DyInSe4. Source: Alexandria, functional PBE.

Computed properties:
Total magnetization = 0.0 μB per formula unit
ΔE_f (raw) = -1232 meV per atom

a = 4.0816 Å, b = 7.0998 Å, c = 7.4531 Å
α = 108.81°, β = 90.00°, γ = 90.00°
Closest atoms and distances in Å follow each position.
Fractional positions:
Se: 0.5000 0.7683 0.7774  2 In 2.80, 1 Dy 2.90, 3 Na 3.03-3.09
Se: 0.0000 0.2558 0.7689  2 Dy 2.87, 1 In 2.88, 3 Na 3.02-3.04
Se: 0.0000 0.7442 0.2311  2 Dy 2.87, 1 In 2.88, 3 Na 3.02-3.04
Se: 0.5000 0.2317 0.2226  2 In 2.80, 1 Dy 2.90, 3 Na 3.03-3.09
In: 0.0000 0.0000 0.0000  6 Se 2.80-2.88
Na: 0.0000 0.5000 0.5000  6 Se 3.04-3.09
Na: 0.5000 0.0000 0.5000  6 Se 3.02-3.03
Dy: 0.5000 0.5000 0.0000  6 Se 2.87-2.90

A relaxed structure of NaSrDyIn. Source: Alexandria, functional PBE.

Computed properties:
Formation enthalpy at 0 K = -0.109 eV/atom
Total magnetization = 0.0 μB per formula unit

a = 5.6379 Å, b = 5.6379 Å, c = 5.6379 Å
α = 60.00°, β = 60.00°, γ = 60.00°
Closest atoms and distances in Å follow each position.
Fractional positions:
In: 0.5000 0.5000 0.5000  4 Dy 3.45, 4 Sr 3.45
Na: 0.0000 0.0000 0.0000  4 Dy 3.45, 4 Sr 3.45
Sr: 0.2500 0.2500 0.2500  4 In 3.45, 4 Na 3.45
Dy: 0.7500 0.7500 0.7500  4 In 3.45, 4 Na 3.45

A relaxed structure of NaDyInTe3. Source: Alexandria, functional PBE.

Computed properties:
Total magnetization = 0.0 μB per formula unit
ΔE_f (raw) = -891 meV per atom

a = 4.3436 Å, b = 8.9960 Å, c = 10.5282 Å
α = 99.60°, β = 90.00°, γ = 90.00°
Closest atoms and distances in Å follow each position.
Fractional positions:
Te: 0.7500 0.3438 0.5396  2 In 2.94, 1 Dy 3.15
Te: 0.2500 0.6031 0.8599  3 Dy 3.04-3.11, 2 Na 3.14
Te: 0.7500 0.3969 0.1401  3 Dy 3.04-3.11, 2 Na 3.14
Te: 0.7500 0.8882 0.1691  1 In 2.94, 2 Dy 3.13, 2 Na 3.22
Te: 0.2500 0.6562 0.4604  2 In 2.94, 1 Dy 3.15
Te: 0.2500 0.1118 0.8309  1 In 2.94, 2 Dy 3.13, 2 Na 3.22
In: 0.7500 0.8731 0.4455  3 Te 2.94, 2 In 3.22
In: 0.2500 0.1269 0.5545  3 Te 2.94, 2 In 3.22
Na: 0.2500 0.1501 0.1606  5 Te 3.14-3.43
Na: 0.7500 0.8499 0.8394  5 Te 3.14-3.43
Dy: 0.2500 0.6363 0.1587  6 Te 3.04-3.15
Dy: 0.7500 0.3637 0.8413  6 Te 3.04-3.15